Here is a relaxed structure of Cs3K2ReO6 from the Alexandria database. Energies are from PBE.

a b c (Å): 6.6248 6.6248 6.7630
angles (deg): 98.92 98.92 120.16
Last column: nearest neighbours and their distance in Å.
Sites, in units of the cell vectors:
Cs 0.0000 0.0000 0.0000  4 O 2.91
Cs 0.3316 0.6684 0.0000  4 O 2.87-2.88
Cs 0.6684 0.3316 0.0000  4 O 2.87-2.88
K 0.1664 0.8336 0.5000  6 O 2.77-2.83
K 0.8336 0.1664 0.5000  6 O 2.77-2.83
Re 0.5000 0.5000 0.5000  6 O 1.93-1.94
O 0.2041 0.4417 0.3305  1 Re 1.93
O 0.3212 0.3212 0.6793  1 Re 1.94
O 0.4417 0.2041 0.3305  1 Re 1.93
O 0.5583 0.7959 0.6695  1 Re 1.93
O 0.6788 0.6788 0.3207  1 Re 1.94
O 0.7959 0.5583 0.6695  1 Re 1.93

- formation energy from raw total energies (kJ/mol of formula units) = -1838
- space-group type = No. 12



Here is a relaxed structure of Ga2Cu2Si from the Alexandria database. Energies are from PBE.

a b c (Å): 7.6607 7.6607 2.5732
angles (deg): 90.00 90.00 90.00
Last column: nearest neighbours and their distance in Å.
Sites, in units of the cell vectors:
Ga 0.1332 0.3668 0.0000  6 Cu 2.53-2.64, 2 Ga 2.57
Ga 0.3668 0.8668 0.0000  6 Cu 2.53-2.64, 2 Ga 2.57
Ga 0.6332 0.1332 0.0000  6 Cu 2.53-2.64, 2 Ga 2.57
Ga 0.8668 0.6332 0.0000  6 Cu 2.53-2.64, 2 Ga 2.57
Cu 0.1656 0.6656 0.5000  6 Ga 2.53-2.64, 2 Cu 2.57
Cu 0.3344 0.1656 0.5000  6 Ga 2.53-2.64, 2 Cu 2.57
Cu 0.6656 0.8344 0.5000  6 Ga 2.53-2.64, 2 Cu 2.57
Cu 0.8344 0.3344 0.5000  6 Ga 2.53-2.64, 2 Cu 2.57
Si 0.0000 0.0000 0.0000  2 Si 2.57
Si 0.5000 0.5000 0.0000  2 Si 2.57

- ΔE to the lowest computed polymorph (meV per atom) = 25
- formation energy from raw total energies (kJ/mol of formula units) = 81
- space-group type = No. 127



Here is a relaxed structure of Ac3Ag2Au from the Alexandria database. Energies are from PBE.

a b c (Å): 3.9384 3.9384 11.8701
angles (deg): 90.00 90.00 90.00
Last column: nearest neighbours and their distance in Å.
Sites, in units of the cell vectors:
Ac 0.0000 0.0000 0.0000  8 Ag 3.41
Ac 0.0000 0.0000 0.3385  4 Au 3.38, 4 Ag 3.46
Ac 0.0000 0.0000 0.6615  4 Au 3.38, 4 Ag 3.46
Ag 0.5000 0.5000 0.1660  8 Ac 3.41-3.46
Ag 0.5000 0.5000 0.8340  8 Ac 3.41-3.46
Au 0.5000 0.5000 0.5000  8 Ac 3.38

- energy relative to the elements (eV per formula unit) = -2.62
- space-group type = No. 123



Here is a relaxed structure of ZrNiTe2I from the Alexandria database. Energies are from PBE.

a b c (Å): 5.6104 5.6104 5.7120
angles (deg): 90.00 90.00 90.00
Last column: nearest neighbours and their distance in Å.
Sites, in units of the cell vectors:
Zr 0.0000 0.0000 0.0000  4 Te 2.81, 2 I 2.86
Ni 0.5000 0.5000 0.5000  4 I 3.97, 8 Te 4.00
Te 0.0000 0.5000 0.0000  2 Zr 2.81
Te 0.5000 0.0000 0.0000  2 Zr 2.81
I 0.0000 0.0000 0.5000  2 Zr 2.86

- ΔE to the lowest computed polymorph (meV per atom) = 128
- formation energy from raw total energies (kJ/mol of formula units) = 199
- space-group type = No. 123



Here is a relaxed structure of NaPr3Cd4 from the Alexandria database. Energies are from PBE.

a b c (Å): 9.4395 9.4395 9.4395
angles (deg): 33.47 33.47 33.47
Last column: nearest neighbours and their distance in Å.
Sites, in units of the cell vectors:
Na 0.0000 0.0000 0.0000  8 Cd 3.31-3.33
Pr 0.2524 0.2524 0.2524  8 Cd 3.28-3.43
Pr 0.5000 0.5000 0.5000  8 Cd 3.34
Pr 0.7476 0.7476 0.7476  8 Cd 3.28-3.43
Cd 0.1241 0.1241 0.1241  1 Na 3.31, 7 Pr 3.34-3.43
Cd 0.3751 0.3751 0.3751  5 Pr 3.28-3.34, 3 Na 3.33
Cd 0.6249 0.6249 0.6249  5 Pr 3.28-3.34, 3 Na 3.33
Cd 0.8759 0.8759 0.8759  1 Na 3.31, 7 Pr 3.34-3.43

- energy relative to the elements (eV per formula unit) = -2.03
- space-group type = No. 166



Here is a relaxed structure of RhAu from the Alexandria database. Energies are from PBE.

a b c (Å): 2.7847 2.7847 4.7971
angles (deg): 90.00 90.00 118.95
Last column: nearest neighbours and their distance in Å.
Sites, in units of the cell vectors:
Rh 0.0000 0.0000 0.0000  4 Au 2.78, 6 Rh 2.78-2.83
Au 0.5000 0.5000 0.5000  4 Rh 2.78, 6 Au 2.78-2.83

- energy relative to the elements (eV per formula unit) = 0.56
- space-group type = No. 65



Here is a relaxed structure of BaZr2Cd from the Alexandria database. Energies are from PBE.

a b c (Å): 3.4332 3.4332 9.7041
angles (deg): 90.00 90.00 90.00
Last column: nearest neighbours and their distance in Å.
Sites, in units of the cell vectors:
Ba 0.0000 0.0000 0.0000  4 Ba 3.43, 4 Cd 3.59
Zr 0.0000 0.0000 0.4752  8 Zr 3.11-3.43, 4 Cd 3.12
Zr 0.5000 0.5000 0.6750  8 Zr 3.11-3.43
Cd 0.5000 0.5000 0.2725  4 Zr 3.12, 4 Cd 3.43

- energy relative to the elements (eV per formula unit) = 0.43
- space-group type = No. 99



Here is a relaxed structure of NbZn3Se from the Alexandria database. Energies are from PBE.

a b c (Å): 5.0746 5.0746 5.0746
angles (deg): 90.00 90.00 90.00
Last column: nearest neighbours and their distance in Å.
Sites, in units of the cell vectors:
Nb 0.0000 0.0000 0.0000  6 Zn 2.54
Zn 0.0000 0.0000 0.5000  2 Nb 2.54
Zn 0.0000 0.5000 0.0000  2 Nb 2.54
Zn 0.5000 0.0000 0.0000  2 Nb 2.54
Se 0.5000 0.5000 0.5000  12 Zn 3.59

- ΔE to the lowest computed polymorph (meV per atom) = 71
- formation energy from raw total energies (kJ/mol of formula units) = 524
- space-group type = No. 221



Here is a relaxed structure of RbPbO3 from the Alexandria database. Energies are from PBE.

a b c (Å): 6.2444 6.2444 7.6545
angles (deg): 119.05 119.05 43.57
Last column: nearest neighbours and their distance in Å.
Sites, in units of the cell vectors:
Rb 0.1270 0.1270 0.4388  6 O 2.81-3.07
Rb 0.8730 0.8730 0.5612  6 O 2.81-3.07
Pb 0.3821 0.3821 0.0646  6 O 2.18-2.42
Pb 0.6179 0.6179 0.9354  6 O 2.18-2.42
O 0.1622 0.1622 0.9358  3 Pb 2.20-2.37
O 0.3956 0.3956 0.7916  2 Pb 2.18-2.21
O 0.4319 0.4319 0.4140  1 O 1.43
O 0.5681 0.5681 0.5860  1 O 1.43
O 0.6044 0.6044 0.2084  2 Pb 2.18-2.21
O 0.8378 0.8378 0.0642  3 Pb 2.20-2.37

- formation energy from raw total energies (kJ/mol of formula units) = -461
- space-group type = No. 12



Here is a relaxed structure of Pm5TmIr4 from the Alexandria database. Energies are from PBE.

a b c (Å): 7.8731 7.8731 6.9891
angles (deg): 90.32 90.32 35.61
Last column: nearest neighbours and their distance in Å.
Sites, in units of the cell vectors:
Pm 0.0000 0.0000 0.0000  6 Ir 3.01
Pm 0.3351 0.3351 0.5011  5 Ir 2.90-3.12
Pm 0.3346 0.3346 0.9989  5 Ir 2.98-3.14
Pm 0.6654 0.6654 0.0011  5 Ir 2.98-3.14
Pm 0.6649 0.6649 0.4989  5 Ir 2.90-3.12
Tm 0.0000 0.0000 0.5000  6 Ir 2.94-2.99
Ir 0.1629 0.1629 0.7496  7 Pm 2.98-3.12, 1 Tm 2.99
Ir 0.4936 0.4936 0.7417  6 Pm 2.90-3.14, 2 Tm 2.94
Ir 0.5064 0.5064 0.2583  6 Pm 2.90-3.14, 2 Tm 2.94
Ir 0.8371 0.8371 0.2504  7 Pm 2.98-3.12, 1 Tm 2.99

- energy relative to the elements (eV per formula unit) = -6.47
- space-group type = No. 12



Here is a relaxed structure of Tm5In2PtRh2 from the Alexandria database. Energies are from PBE.

a b c (Å): 11.4653 11.4653 3.5339
angles (deg): 90.00 90.00 90.00
Last column: nearest neighbours and their distance in Å.
Sites, in units of the cell vectors:
Tm 0.0000 0.5000 0.0000  4 Rh 2.81
Tm 0.0702 0.1963 0.0000  2 Rh 2.72, 2 Pt 2.97
Tm 0.1963 0.9298 0.0000  2 Rh 2.72, 2 Pt 2.97
Tm 0.3037 0.4298 0.0000  2 Rh 2.72, 2 Pt 2.97
Tm 0.4298 0.6963 0.0000  2 Rh 2.72, 2 Pt 2.97
Tm 0.5000 0.0000 0.0000  4 Rh 2.81
Tm 0.5702 0.3037 0.0000  2 Rh 2.72, 2 Pt 2.97
Tm 0.6963 0.5702 0.0000  2 Rh 2.72, 2 Pt 2.97
Tm 0.8037 0.0702 0.0000  2 Rh 2.72, 2 Pt 2.97
Tm 0.9298 0.8037 0.0000  2 Rh 2.72, 2 Pt 2.97
In 0.1747 0.6747 0.5000  1 Rh 3.09, 6 Tm 3.34-3.43
In 0.3253 0.1747 0.5000  1 Rh 3.09, 6 Tm 3.34-3.43
In 0.6747 0.8253 0.5000  1 Rh 3.09, 6 Tm 3.34-3.43
In 0.8253 0.3253 0.5000  1 Rh 3.09, 6 Tm 3.34-3.43
Pt 0.0000 0.0000 0.5000  8 Tm 2.97
Pt 0.5000 0.5000 0.5000  8 Tm 2.97
Rh 0.1349 0.3651 0.5000  6 Tm 2.72-2.81
Rh 0.3651 0.8651 0.5000  6 Tm 2.72-2.81
Rh 0.6349 0.1349 0.5000  6 Tm 2.72-2.81
Rh 0.8651 0.6349 0.5000  6 Tm 2.72-2.81

- energy relative to the elements (eV per formula unit) = -7.95
- space-group type = No. 127



Here is a relaxed structure of PrHfOs4 from the Alexandria database. Energies are from PBE.

a b c (Å): 5.3463 5.3463 5.3463
angles (deg): 60.00 60.00 60.00
Last column: nearest neighbours and their distance in Å.
Sites, in units of the cell vectors:
Pr 0.0000 0.0000 0.0000  12 Os 3.14, 4 Hf 3.27
Hf 0.7500 0.7500 0.7500  12 Os 3.13, 4 Pr 3.27
Os 0.3755 0.3755 0.3755  6 Os 2.66-2.68
Os 0.3755 0.3755 0.8734  6 Os 2.66-2.68
Os 0.3755 0.8734 0.3755  6 Os 2.66-2.68
Os 0.8734 0.3755 0.3755  6 Os 2.66-2.68

- energy relative to the elements (eV per formula unit) = -0.63
- space-group type = No. 216



What are the calculated total energy values for these records? In order: -5.5006 -3.7653 -3.9873 -4.0209 -2.6680 -5.0356 -4.8763 -2.3885 -4.8660 -7.0136 -5.6529 -10.0464 eV per atom.